# VCrNi2

Crystalline VCrNi2 at its relaxed geometry (GGA-PBE, the Alexandria database).

a b c (Å): 2.5200 2.5200 25.4028
angles (deg): 90.00 90.00 120.00
Space group R-3m (No. 166, hexagonal axes)
Symmetry-distinct sites (fractional):
V  0.0000  0.0000  0.0000 [3 per cell]
Cr  0.0000  0.0000  0.5000 [3 per cell]
Ni  0.0000  0.0000  0.2486 [6 per cell]

Computed properties:
Calculated formation energy: 0.065 eV/atom

---

# VCr3Ni

Crystalline VCr3Ni at its relaxed geometry (GGA-PBE, the Alexandria database).

a b c (Å): 4.156 4.156 4.156
angles (deg): 90.00 90.00 90.00
Space group Pm-3m (No. 221)
Symmetry-distinct sites (fractional):
V  0.000  0.000  0.000 [1 per cell]
Cr  0.000  0.000  0.500 [3 per cell]
Ni  0.500  0.500  0.500 [1 per cell]

Computed properties:
Calculated formation energy: 1.417 eV/atom
Energy above the most stable polymorph in this dataset: 129 meV per atom

---

| no. | spin magnetization (μB/cell) | N(E_F) (states/eV/f.u.) |
| --- | --- | --- |
| 1 | 0.0 | 5.0 |
| 2 | 0.0 | 6.9 |